(1)
{"formula": "YAs3F", "functional": "PBE", "state": "relaxed", "lattice": [[5.400, 0.000, 0.000], [0.000, 5.400, 0.000], [0.000, 0.000, 5.400]], "species": ["Y", "As", "As", "As", "F"], "frac_coords": [[0.000, 0.000, 0.000], [0.000, 0.000, 0.500], [0.000, 0.500, 0.000], [0.500, 0.000, 0.000], [0.500, 0.500, 0.500]], "spacegroup": "Pm-3m, No. 221", "e_form_raw_mev_per_atom": 311.9, "de_polymorph_mev_per_atom": 841}

---

(2)
{"formula": "YAsF", "functional": "PBE", "state": "relaxed", "lattice": [[4.647, 0.000, 0.000], [-1.978, 4.844, 0.000], [-1.537, -2.296, 6.656]], "species": ["Y", "Y", "As", "As", "F", "F"], "frac_coords": [[0.128, 0.125, 0.270], [0.872, 0.875, 0.730], [0.211, 0.704, 0.459], [0.789, 0.296, 0.541], [0.289, 0.177, 0.007], [0.711, 0.823, 0.993]], "spacegroup": "P-1, No. 2", "e_form_raw_mev_per_atom": -2249.6, "de_polymorph_mev_per_atom": 0}

---

(3)
{"formula": "Y2AsF", "functional": "PBE", "state": "relaxed", "lattice": [[0.000, 3.425, 3.425], [3.425, 0.000, 3.425], [3.425, 3.425, 0.000]], "species": ["Y", "Y", "As", "F"], "frac_coords": [[0.250, 0.250, 0.250], [0.750, 0.750, 0.750], [0.000, 0.000, 0.000], [0.500, 0.500, 0.500]], "spacegroup": "Fm-3m, No. 225", "e_form_raw_mev_per_atom": -1601.1, "de_polymorph_mev_per_atom": 0}

---

Calculated volume, record by record: 157.5; 149.8; 80.4 Å³ per cell